Rb2Mg2H | Alexandria via LeMat-Bulk | GGA-PBE | relaxed; energy above the lowest structure with this stoichiometry = 1.203 eV per formula unit; space-group type = P4/mbm, No. 127; VASP energy = -1.214 eV per atom; crystal system = tetragonal; DOS at the Fermi energy = 5.69 states/eV/cell
1.0
7.693 0.000 0.000
0.000 7.693 0.000
0.000 0.000 6.376
H Mg Rb
2 4 4
direct
0.000 0.000 0.000
0.500 0.500 0.000
0.351 0.851 0.000
0.851 0.649 0.000
0.649 0.149 0.000
0.149 0.351 0.000
0.177 0.677 0.500
0.677 0.823 0.500
0.823 0.323 0.500
0.323 0.177 0.500

***

RbMgH2 | Alexandria via LeMat-Bulk | GGA-PBE | relaxed; energy above the lowest structure with this stoichiometry = 1.726 eV per formula unit; space-group type = Fm-3m, No. 225; VASP energy = -1.955 eV per atom; crystal system = cubic; DOS at the Fermi energy = 0.74 states/eV/cell
1.0
1.265 -4.294 1.410
-2.935 -3.618 -0.572
0.962 -3.323 -3.171
H Mg Rb
2 1 1
direct
0.250 0.250 0.250
0.750 0.750 0.750
0.000 0.000 0.000
0.500 0.500 0.500

***

RbMg2H6 | Alexandria via LeMat-Bulk | GGA-PBE | relaxed; energy above the lowest structure with this stoichiometry = 0.000 eV per formula unit; space-group type = C2/m, No. 12; VASP energy = -2.635 eV per atom; crystal system = monoclinic; DOS at the Fermi energy = 0.59 states/eV/cell
1.0
3.945 0.000 0.000
1.972 4.696 -0.036
1.972 2.014 7.338
Rb Mg H
1 2 6
direct
0.000 0.500 0.500
0.177 0.737 0.909
0.823 0.263 0.091
0.693 0.670 0.945
0.307 0.330 0.055
0.008 0.842 0.142
0.273 0.793 0.660
0.992 0.158 0.858
0.727 0.207 0.340

***

Question: Which value of VASP energy does entry 2 give?
Answer: -1.955 eV per atom

***

Question: Which of these has the highest energy above the lowest structure with this stoichiometry?
Answer: RbMgH2

***

Question: Number 1 is which compound?
Answer: Rb2Mg2H

***

Question: Among the records above, which one has the highest DOS at the Fermi energy?
Answer: Rb2Mg2H